(1)
Material: GaRuPbO6
Method: DFT, PBE-GGA
State: optimized geometry

## Properties
Calculated total energy ... -6.178 eV/atom

a = 5.2144 Å, b = 5.2144 Å, c = 9.5766 Å
α = 90.00°, β = 90.00°, γ = 120.00°
Space group P-31c (No. 163)
Symmetry-distinct sites (fractional):
Ga1 0.3333 0.6667 0.2500 [2 per cell]
Ru1 0.3333 0.6667 0.7500 [2 per cell]
Pb1 0.0000 0.0000 0.0000 [2 per cell]
O1 0.0074 0.3756 0.6379 [12 per cell]


(2)
Material: SmDyTmMg
Method: DFT, PBE-GGA
State: optimized geometry

## Properties
E above lowest polymorph ... 0.00 kcal/mol of atoms
Calculated total energy ... -3.871 eV/atom

a = 3.5966 Å, b = 3.5966 Å, c = 9.1768 Å
α = 90.00°, β = 90.00°, γ = 90.00°
Space group P4mm (No. 99)
Symmetry-distinct sites (fractional):
Sm1 0.0000 0.0000 0.0000 [1 per cell]
Dy1 0.5000 0.5000 0.7288 [1 per cell]
Tm1 0.5000 0.5000 0.2677 [1 per cell]
Mg1 0.0000 0.0000 0.4953 [1 per cell]